# 1
KIn2Au, optimized geometry, DFT GGA-PBEsol; energy relative to the elements = -0.168 eV per atom; total energy = -11.69 eV per cell
1.0
3.454 0.000 0.000
0.000 3.454 0.000
0.000 0.000 8.576
Au K In
1 1 2
Direct
0.500 0.500 0.500 Au
0.500 0.500 0.000 K
0.000 0.000 0.690 In
0.000 0.000 0.310 In



# 2
K2InAu2, optimized geometry, DFT GGA-PBEsol; energy relative to the elements = -0.183 eV per atom; total energy = -28.03 eV per cell
1.0
5.196 0.000 0.000
0.000 7.275 0.000
0.000 0.000 7.275
Au K In
4 4 2
Direct
0.000 0.865 0.635 Au
0.000 0.365 0.865 Au
0.000 0.635 0.135 Au
0.000 0.135 0.365 Au
0.500 0.170 0.670 K
0.500 0.830 0.330 K
0.500 0.330 0.170 K
0.500 0.670 0.830 K
0.000 0.500 0.500 In
0.000 0.000 0.000 In



# 3
K3InAu5, optimized geometry, DFT GGA-PBEsol; energy relative to the elements = -0.269 eV per atom; total energy = -56.85 eV per cell
1.0
-2.823 4.657 -0.973
-3.761 -3.643 -6.523
-3.848 -3.614 9.600
Au K In
10 6 2
Direct
0.645 0.609 0.289 Au
0.313 0.313 0.127 Au
0.855 0.819 0.711 Au
0.813 0.313 0.127 Au
0.355 0.391 0.711 Au
0.145 0.181 0.289 Au
0.187 0.687 0.873 Au
0.000 0.000 0.000 Au
0.500 0.500 0.000 Au
0.687 0.687 0.873 Au
0.087 0.710 0.174 K
0.250 0.629 0.500 K
0.913 0.290 0.826 K
0.587 0.964 0.174 K
0.750 0.371 0.500 K
0.413 0.036 0.826 K
0.750 0.916 0.500 In
0.250 0.084 0.500 In